# K3LiMn2Cl8 (PBE, relaxed)
data_K3LiMn2Cl8
_cell_length_a 7.1976
_cell_length_b 7.1976
_cell_length_c 8.9783
_cell_angle_alpha 90.00
_cell_angle_beta 90.00
_cell_angle_gamma 120.00
_symmetry_space_group_name_H-M 'P -3 m 1'
_symmetry_Int_Tables_number 164
_symmetry_space_group_name_Hall '-P 3 2"'
loop_
_atom_site_label
_atom_site_type_symbol
_atom_site_fract_x
_atom_site_fract_y
_atom_site_fract_z
K1 K 0.0000 0.0000 0.0000
K2 K 0.3333 0.6667 0.6164
Li1 Li 0.0000 0.0000 0.5000
Mn1 Mn 0.3333 0.6667 0.2066
Cl1 Cl 0.1629 0.3259 0.3217
Cl2 Cl 0.3333 0.6667 0.9519
# D(E_F) (states/eV per cell): 0.00
# Spin magnetization (μB/f.u.): 10.000
# E (Ha/atom): -0.158

=====

# KLiMn2Cl8 (PBE, relaxed)
data_KLiMn2Cl8
_cell_length_a 6.6441
_cell_length_b 6.6441
_cell_length_c 8.8014
_cell_angle_alpha 90.00
_cell_angle_beta 90.00
_cell_angle_gamma 120.00
_symmetry_space_group_name_H-M 'P -3'
_symmetry_Int_Tables_number 147
_symmetry_space_group_name_Hall '-P 3'
loop_
_atom_site_label
_atom_site_type_symbol
_atom_site_fract_x
_atom_site_fract_y
_atom_site_fract_z
K1 K 0.0000 0.0000 0.0000
Li1 Li 0.0000 0.0000 0.5000
Mn1 Mn 0.3333 0.6667 0.7415
Cl1 Cl 0.0270 0.3229 0.6790
Cl2 Cl 0.3333 0.6667 0.9903
# D(E_F) (states/eV per cell): 13.53
# Spin magnetization (μB/f.u.): 8.000
# E (Ha/atom): -0.154

=====

# K3LiMn2Cl9 (PBE, relaxed)
data_K3LiMn2Cl9
_cell_length_a 7.0232
_cell_length_b 7.0232
_cell_length_c 8.6485
_cell_angle_alpha 90.00
_cell_angle_beta 90.00
_cell_angle_gamma 120.00
_symmetry_space_group_name_H-M 'P -3 m 1'
_symmetry_Int_Tables_number 164
_symmetry_space_group_name_Hall '-P 3 2"'
loop_
_atom_site_label
_atom_site_type_symbol
_atom_site_fract_x
_atom_site_fract_y
_atom_site_fract_z
K1 K 0.0000 0.0000 0.0000
K2 K 0.3333 0.6667 0.6554
Li1 Li 0.0000 0.0000 0.5000
Mn1 Mn 0.3333 0.6667 0.1729
Cl1 Cl 0.0000 0.5000 0.0000
Cl2 Cl 0.1694 0.3389 0.3251
# D(E_F) (states/eV per cell): 2.07
# Spin magnetization (μB/f.u.): 9.000
# E (Ha/atom): -0.154

=====

# K3Li3MnCl8 (PBE, relaxed)
data_K3Li3MnCl8
_cell_length_a 13.494
_cell_length_b 7.781
_cell_length_c 8.410
_cell_angle_alpha 90.00
_cell_angle_beta 122.31
_cell_angle_gamma 90.00
_symmetry_space_group_name_H-M 'C 1 2/m 1'
_symmetry_Int_Tables_number 12
_symmetry_space_group_name_Hall '-C 2y'
loop_
_atom_site_label
_atom_site_type_symbol
_atom_site_fract_x
_atom_site_fract_y
_atom_site_fract_z
K1 K 0.000 0.000 0.000
K2 K 0.250 0.250 0.000
Li1 Li 0.000 0.500 0.500
Li2 Li 0.250 0.250 0.500
Mn1 Mn 0.000 0.000 0.500
Cl1 Cl 0.015 0.242 0.305
Cl2 Cl 0.226 0.000 0.695
Cl3 Cl 0.233 0.500 0.699
# D(E_F) (states/eV per cell): 0.00
# Spin magnetization (μB/f.u.): 5.000
# E (Ha/atom): -0.143